# 1
A relaxed CdTc2HgTe crystal. Source: Alexandria via LeMat-Bulk, functional PBEsol.

Computed properties:
ΔE to the lowest computed polymorph in meV per atom: 0.0
Fermi-level density of states in states/eV/cell: 4.168
Electronic total energy in eV per cell: -20.05
Calculated volume in Å³ per cell: 126

The structure in POSCAR format:
```
CdTc2HgTe
1.0
4.858 0.000 0.000
0.000 4.858 0.000
0.000 0.000 5.328
Tc Cd Te Hg
2 1 1 1
Cartesian
0.000 2.429 0.000 Tc
2.429 0.000 0.000 Tc
2.429 2.429 2.664 Cd
0.000 0.000 0.000 Te
0.000 0.000 2.664 Hg
```

***

# 2
A relaxed CdTc2HgTe crystal. Source: Alexandria via LeMat-Bulk, functional PBEsol.

Computed properties:
ΔE to the lowest computed polymorph in meV per atom: 295.8
Fermi-level density of states in states/eV/cell: 4.443
Electronic total energy in eV per cell: -18.57
Calculated volume in Å³ per cell: 130

The structure in POSCAR format:
```
CdTc2HgTe
1.0
5.013 0.000 0.000
0.000 5.085 0.000
0.000 0.000 5.085
Tc Hg Te Cd
2 1 1 1
Cartesian
0.000 0.000 2.542 Tc
0.000 2.542 0.000 Tc
2.506 0.000 0.000 Hg
2.506 2.542 2.542 Te
0.000 0.000 0.000 Cd
```

***

# 3
A relaxed TiCdHgW2 crystal. Source: Alexandria via LeMat-Bulk, functional PBEsol.

Computed properties:
Fermi-level density of states in states/eV/cell: 6.652
Electronic total energy in eV per cell: -26.02
Calculated volume in Å³ per cell: 116

The structure in POSCAR format:
```
TiCdHgW2
1.0
4.801 0.000 0.000
0.000 4.919 0.000
0.000 0.000 4.919
W Hg Cd Ti
2 1 1 1
Cartesian
0.000 2.459 0.000 W
0.000 0.000 2.459 W
0.000 0.000 0.000 Hg
2.400 2.459 2.459 Cd
2.400 0.000 0.000 Ti
```

***

# 4
A relaxed TlCd2Hg2 crystal. Source: Alexandria via LeMat-Bulk, functional PBEsol.

Computed properties:
ΔE to the lowest computed polymorph in meV per atom: 0.0
Fermi-level density of states in states/eV/cell: 3.736
Electronic total energy in eV per cell: -12.25
Calculated volume in Å³ per cell: 237

The structure in POSCAR format:
```
TlCd2Hg2
1.0
-2.025 2.121 1.143
-3.043 -5.909 5.573
5.902 2.480 5.852
Cd Tl Hg
4 2 4
Cartesian
-1.507 -3.126 7.463 Cd
2.341 1.818 5.106 Cd
2.109 -0.595 9.171 Cd
-1.275 -0.713 3.397 Cd
1.430 -1.715 5.713 Tl
0.000 0.000 0.000 Tl
3.934 0.062 6.852 Hg
1.552 -0.072 2.882 Hg
-1.074 -3.491 4.573 Hg
1.307 -3.357 8.543 Hg
```

***

Repeat the third record exactly.
A relaxed TiCdHgW2 crystal. Source: Alexandria via LeMat-Bulk, functional PBEsol.

Computed properties:
Fermi-level density of states in states/eV/cell: 6.652
Electronic total energy in eV per cell: -26.02
Calculated volume in Å³ per cell: 116

The structure in POSCAR format:
```
TiCdHgW2
1.0
4.801 0.000 0.000
0.000 4.919 0.000
0.000 0.000 4.919
W Hg Cd Ti
2 1 1 1
Cartesian
0.000 2.459 0.000 W
0.000 0.000 2.459 W
0.000 0.000 0.000 Hg
2.400 2.459 2.459 Cd
2.400 0.000 0.000 Ti
```